No. 1
Density functional theory data (GGA-PBE) for SiMo2Ir after structural relaxation.

Results
* DFT total energy: -9.02 eV per atom
* crystal system: trigonal
* Fermi-level density of states: 4.05 states/eV per cell
* ρ: 11.5 Mg/m³
* magnetic moment: 0.0 μB per formula unit
* formation energy (no corrections): -0.1 eV/f.u.
* symmetry: R3m

Cell lengths 8.8642, 8.8642, 8.8642 Å; angles 18.22, 18.22, 18.22 degrees
Positions (direct):
1 Si 0.4964 0.4964 0.4964
2 Ir 0.7562 0.7562 0.7562
3 Mo 0.0029 0.0029 0.0029
4 Mo 0.2445 0.2445 0.2445



No. 2
Density functional theory data (GGA-PBE) for SiMoIr2 after structural relaxation.

Results
* DFT total energy: -8.68 eV per atom
* crystal system: orthorhombic
* Fermi-level density of states: 3.30 states/eV per cell
* ρ: 14.4 Mg/m³
* magnetic moment: 0.0 μB per formula unit
* formation energy (no corrections): -0.8 eV/f.u.
* symmetry: Pmm2

Cell lengths 2.8182, 3.8415, 5.4157 Å; angles 90.00, 90.00, 90.00 degrees
Positions (direct):
1 Ir 0.5000 0.5000 0.2734
2 Ir 0.0000 0.0000 0.9564
3 Si 0.5000 0.5000 0.7908
4 Mo 0.0000 0.0000 0.4794



No. 3
Density functional theory data (GGA-PBE) for SiMo2Ir after structural relaxation.

Results
* DFT total energy: -8.66 eV per atom
* crystal system: tetragonal
* Fermi-level density of states: 6.65 states/eV per cell
* ρ: 10.7 Mg/m³
* magnetic moment: 0.0 μB per formula unit
* formation energy (no corrections): 1.3 eV/f.u.
* symmetry: I-42d

Cell lengths 6.9242, 6.9242, 5.5714 Å; angles 51.58, 51.58, 90.00 degrees
Positions (direct):
1 Ir 0.7500 0.2500 0.5000
2 Ir 0.0000 0.0000 0.0000
3 Mo 0.6154 0.1250 0.2500
4 Mo 0.8750 0.8654 0.7500
5 Mo 0.1346 0.6250 0.2500
6 Mo 0.3750 0.3846 0.7500
7 Si 0.5000 0.5000 0.0000
8 Si 0.2500 0.7500 0.5000



No. 4
Density functional theory data (GGA-PBE) for SiMoIr2 after structural relaxation.

Results
* DFT total energy: -8.60 eV per atom
* crystal system: monoclinic
* Fermi-level density of states: 3.54 states/eV per cell
* ρ: 14.6 Mg/m³
* magnetic moment: 0.0 μB per formula unit
* formation energy (no corrections): -0.4 eV/f.u.
* symmetry: P2/m

Cell lengths 2.7593, 4.6518, 5.5245 Å; angles 54.69, 90.00, 90.00 degrees
Positions (direct):
1 Ir 0.5000 0.5000 0.0000
2 Ir 0.0000 0.0000 0.0000
3 Mo 0.5000 0.5000 0.5000
4 Si 0.0000 0.0000 0.5000



formation energy (no corrections) of number 3 (SiMo2Ir)?
1.3 eV/f.u.



Which formula does entry 4 have?
SiMoIr2



Copy entry 1 word for word.
Density functional theory data (GGA-PBE) for SiMo2Ir after structural relaxation.

Results
* DFT total energy: -9.02 eV per atom
* crystal system: trigonal
* Fermi-level density of states: 4.05 states/eV per cell
* ρ: 11.5 Mg/m³
* magnetic moment: 0.0 μB per formula unit
* formation energy (no corrections): -0.1 eV/f.u.
* symmetry: R3m

Cell lengths 8.8642, 8.8642, 8.8642 Å; angles 18.22, 18.22, 18.22 degrees
Positions (direct):
1 Si 0.4964 0.4964 0.4964
2 Ir 0.7562 0.7562 0.7562
3 Mo 0.0029 0.0029 0.0029
4 Mo 0.2445 0.2445 0.2445